i.
A plane-wave DFT calculation with PBE was carried out for a geometry-optimized K2CdGa structure.

Space-group type = R-3m (166)
Theoretical density = 2.84 g/cm³

Cell lengths 3.7452, 3.7452, 12.7227 Å; angles 81.54, 81.54, 60.00 degrees
Last column: nearest neighbours and their distance in Å.
Element x y z (fractional)
K (0.0890, 0.0890, 0.7330)  1 Ga 3.35, 3 Cd 3.63, 6 K 3.75
K (0.9110, 0.9110, 0.2670)  1 Ga 3.35, 3 Cd 3.63, 6 K 3.75
Cd (0.5000, 0.5000, 0.5000)  6 K 3.63, 6 Cd 3.75
Ga (0.0000, 0.0000, 0.0000)  2 K 3.35, 6 Ga 3.75


ii.
A plane-wave DFT calculation with PBE was carried out for a geometry-optimized K2CdGa structure.

Space-group type = Fm-3m (225)
Theoretical density = 2.94 g/cm³

Cell lengths 5.9259, 5.9259, 5.9259 Å; angles 60.00, 60.00, 60.00 degrees
Last column: nearest neighbours and their distance in Å.
Element x y z (fractional)
K (0.7500, 0.7500, 0.7500)  4 Ga 3.63, 4 Cd 3.63
K (0.2500, 0.2500, 0.2500)  4 Cd 3.63, 4 Ga 3.63
Ga (0.0000, 0.0000, 0.0000)  8 K 3.63
Cd (0.5000, 0.5000, 0.5000)  8 K 3.63


What should be chosen as the most stable of them? Choose ii.